Entry 1:
## Np2HgGe (PBE-GGA)

Data for a geometry-optimized Np2HgGe structure.

Calculated values
**E_form**: 112 meV/atom
**Calculated density**: 13.75 g/cm³
**DOS(E_F)**: 10.6 states/eV/f.u.

Cell lengths 4.440, 4.440, 4.578 Å; angles 90.00, 90.00, 90.00 degrees
Fractional coordinates of all 4 atoms:
Np  0.000  0.500  0.000
Np  0.500  0.000  0.000
Hg  0.000  0.000  0.500
Ge  0.500  0.500  0.500

=====

Entry 2:
## BeZnCl2 (PBE-GGA)

Data for a geometry-optimized BeZnCl2 structure.

Calculated values
**Calculated density**: 3.42 g/cm³
**Raw total energy**: -29.7 eV per cell
**DOS(E_F)**: 2.2 states/eV/f.u.

Cell lengths 6.561, 6.561, 6.561 Å; angles 90.00, 90.00, 90.00 degrees
Fractional coordinates of all 16 atoms:
Be  0.000  0.000  0.000
Be  0.000  0.500  0.500
Be  0.500  0.000  0.500
Be  0.500  0.500  0.000
Zn  0.000  0.000  0.500
Zn  0.000  0.500  0.000
Zn  0.500  0.000  0.000
Zn  0.500  0.500  0.500
Cl  0.250  0.250  0.250
Cl  0.250  0.250  0.750
Cl  0.250  0.750  0.250
Cl  0.250  0.750  0.750
Cl  0.750  0.250  0.250
Cl  0.750  0.250  0.750
Cl  0.750  0.750  0.250
Cl  0.750  0.750  0.750

=====

Entry 3:
## ZnSnC2 (PBE-GGA)

Data for a geometry-optimized ZnSnC2 structure.

Calculated values
**E_form**: 1299 meV/atom
**Calculated density**: 5.85 g/cm³
**DOS(E_F)**: 2.3 states/eV/f.u.

Cell lengths 4.870, 4.870, 9.967 Å; angles 90.00, 90.00, 90.00 degrees
Fractional coordinates of all 16 atoms:
Zn  0.000  0.000  0.000
Zn  0.000  0.500  0.250
Zn  0.500  0.000  0.750
Zn  0.500  0.500  0.500
Sn  0.000  0.000  0.500
Sn  0.000  0.500  0.750
Sn  0.500  0.000  0.250
Sn  0.500  0.500  0.000
C  0.229  0.250  0.125
C  0.250  0.729  0.375
C  0.250  0.771  0.875
C  0.271  0.250  0.625
C  0.729  0.750  0.625
C  0.750  0.229  0.875
C  0.750  0.271  0.375
C  0.771  0.750  0.125

=====

Entry 4:
## Ba2CaAl3Au12 (PBE-GGA)

Data for a geometry-optimized Ba2CaAl3Au12 structure.

Calculated values
**E_form**: -273 meV/atom
**Calculated density**: 9.54 g/cm³
**DOS(E_F)**: 5.3 states/eV/f.u.

Cell lengths 8.519, 8.519, 8.519 Å; angles 64.50, 64.50, 64.50 degrees
Fractional coordinates of all 18 atoms:
Ba  0.106  0.106  0.106
Ba  0.894  0.894  0.894
Ca  0.500  0.500  0.500
Al  0.000  0.500  0.500
Al  0.500  0.000  0.500
Al  0.500  0.500  0.000
Au  0.112  0.633  0.633
Au  0.177  0.177  0.639
Au  0.177  0.639  0.177
Au  0.361  0.823  0.823
Au  0.367  0.367  0.888
Au  0.367  0.888  0.367
Au  0.633  0.112  0.633
Au  0.633  0.633  0.112
Au  0.639  0.177  0.177
Au  0.823  0.361  0.823
Au  0.823  0.823  0.361
Au  0.888  0.367  0.367

=====

Entry 5:
## CsIn3Se (PBE-GGA)

Data for a geometry-optimized CsIn3Se structure.

Calculated values
**Calculated density**: 4.24 g/cm³
**Raw total energy**: -12.2 eV per cell
**DOS(E_F)**: 5.5 states/eV/f.u.

Cell lengths 6.016, 6.016, 6.016 Å; angles 90.00, 90.00, 90.00 degrees
Fractional coordinates of all 5 atoms:
Cs  0.000  0.000  0.000
In  0.000  0.500  0.500
In  0.500  0.000  0.500
In  0.500  0.500  0.000
Se  0.500  0.500  0.500

=====

Entry 6:
## MgNi2As2 (PBE-GGA)

Data for a geometry-optimized MgNi2As2 structure.

Calculated values
**E_form**: -252 meV/atom
**Calculated density**: 5.87 g/cm³
**DOS(E_F)**: 2.6 states/eV/f.u.

Cell lengths 5.832, 5.832, 6.517 Å; angles 97.87, 97.87, 128.41 degrees
Fractional coordinates of all 10 atoms:
Mg  0.160  0.840  0.750
Mg  0.840  0.160  0.250
Ni  0.253  0.543  0.050
Ni  0.457  0.747  0.450
Ni  0.543  0.253  0.550
Ni  0.747  0.457  0.950
As  0.163  0.837  0.250
As  0.452  0.548  0.750
As  0.548  0.452  0.250
As  0.837  0.163  0.750

=====

Entry 7:
## AlNi2As2 (PBE-GGA)

Data for a geometry-optimized AlNi2As2 structure.

Calculated values
**E_form**: 84 meV/atom
**Calculated density**: 6.23 g/cm³
**DOS(E_F)**: 3.3 states/eV/f.u.

Cell lengths 3.721, 3.721, 11.326 Å; angles 90.00, 90.00, 90.00 degrees
Fractional coordinates of all 10 atoms:
Al  0.000  0.000  0.000
Al  0.500  0.500  0.500
Ni  0.000  0.000  0.395
Ni  0.000  0.000  0.605
Ni  0.500  0.500  0.105
Ni  0.500  0.500  0.895
As  0.000  0.500  0.250
As  0.000  0.500  0.750
As  0.500  0.000  0.250
As  0.500  0.000  0.750

=====

Entry 8:
## Rb2AgHgPb (PBE-GGA)

Data for a geometry-optimized Rb2AgHgPb structure.

Calculated values
**E_form**: 45 meV/atom
**Calculated density**: 4.62 g/cm³
**DOS(E_F)**: 4.2 states/eV/f.u.

Cell lengths 6.822, 6.822, 5.306 Å; angles 90.00, 90.00, 90.00 degrees
Fractional coordinates of all 5 atoms:
Rb  0.000  0.500  0.000
Rb  0.500  0.000  0.000
Ag  0.000  0.000  0.000
Hg  0.500  0.500  0.500
Pb  0.000  0.000  0.500

=====

Number 1: magnetic moment 8.6 μB per cell. Number 2: magnetic moment 0.0 μB per cell. Number 3: magnetic moment 0.0 μB per cell. Number 4: magnetic moment 0.0 μB per cell. Number 5: magnetic moment 0.0 μB per cell. Number 6: magnetic moment 0.0 μB per cell. Number 7: magnetic moment 0.0 μB per cell. Number 8: magnetic moment 0.0 μB per cell.